Record 1
Density functional theory data (PBE) for a relaxed Tb7Y2 crystal.

Results
Its formation enthalpy at 0 K is 0.04 eV/atom. As for the excess energy over the best structure of this formula in the dataset: 0.023 eV/atom. As for the density of states at the Fermi level: 1.8136 states/eV per atom. The magnetic moment comes out at 0.00 μB/f.u. Its mass density is 7404 kg/m³.

abc: 3.5294 9.7303 9.7303
angles: 120.00 90.00 90.00
With the nearest neighbours (Å) after each atom.
Element x y z (fractional)
Tb 0.5000 0.6394 0.0000  9 Tb 3.51-3.71, 4 Y 3.58
Tb 0.0000 0.0000 0.3035  2 Y 3.40, 10 Tb 3.44-3.71
Tb 0.0000 0.3035 0.0000  2 Y 3.40, 10 Tb 3.44-3.71
Tb 0.0000 0.6965 0.6965  2 Y 3.40, 10 Tb 3.44-3.71
Tb 0.5000 0.3606 0.3606  9 Tb 3.51-3.71, 4 Y 3.58
Tb 0.5000 0.0000 0.6394  9 Tb 3.51-3.71, 4 Y 3.58
Tb 0.5000 0.0000 0.0000  11 Tb 3.44-3.53
Y 0.0000 0.3333 0.6667  9 Tb 3.40-3.58, 2 Y 3.53
Y 0.0000 0.6667 0.3333  9 Tb 3.40-3.58, 2 Y 3.53

***

Record 2
Density functional theory data (PBE) for a relaxed TbY4 crystal.

Results
Its formation enthalpy at 0 K is 0.05 eV/atom. As for the excess energy over the best structure of this formula in the dataset: 0.026 eV/atom. As for the density of states at the Fermi level: 1.8428 states/eV per atom. The magnetic moment comes out at 0.00 μB/f.u. Its mass density is 5286 kg/m³.

abc: 7.0575 6.5002 9.5034
angles: 63.72 68.20 57.12
With the nearest neighbours (Å) after each atom.
Element x y z (fractional)
Y 0.8496 0.1995 0.6012  8 Y 3.21-3.59, 1 Tb 3.35
Y 0.3498 0.1995 0.6012  8 Y 3.21-3.59, 1 Tb 3.35
Y 0.8045 0.6089 0.7820  9 Y 3.53-3.67, 4 Tb 3.73
Y 0.1955 0.3911 0.2180  9 Y 3.53-3.67, 4 Tb 3.73
Y 0.3043 0.6091 0.7822  9 Y 3.53-3.67, 4 Tb 3.73
Y 0.6957 0.3909 0.2178  9 Y 3.53-3.67, 4 Tb 3.73
Y 0.6502 0.8005 0.3988  8 Y 3.21-3.59, 1 Tb 3.35
Y 0.1504 0.8005 0.3988  8 Y 3.21-3.59, 1 Tb 3.35
Tb 0.2501 0.0000 0.0000  10 Y 3.35-3.73, 2 Tb 3.53
Tb 0.7499 0.0000 0.0000  10 Y 3.35-3.73, 2 Tb 3.53

***

Record 3
Density functional theory data (PBE) for a relaxed Tb5Y2 crystal.

Results
Its formation enthalpy at 0 K is 0.14 eV/atom. As for the density of states at the Fermi level: 2.6541 states/eV per atom. The magnetic moment comes out at 0.01 μB/f.u. Its mass density is 7100 kg/m³.

abc: 5.6801 5.6801 8.7757
angles: 71.12 71.12 60.00
With the nearest neighbours (Å) after each atom.
Element x y z (fractional)
Tb 0.0706 0.0706 0.7883  5 Tb 3.45-3.51, 3 Y 3.49
Tb 0.5000 0.5000 0.5000  6 Tb 3.46, 2 Y 3.54
Tb 0.2120 0.2120 0.3640  7 Tb 3.45-3.51, 1 Y 3.49
Tb 0.7880 0.7880 0.6360  7 Tb 3.45-3.51, 1 Y 3.49
Tb 0.9294 0.9294 0.2117  5 Tb 3.45-3.51, 3 Y 3.49
Y 0.3550 0.3550 0.9349  3 Y 3.45, 5 Tb 3.49-3.54
Y 0.6450 0.6450 0.0651  3 Y 3.45, 5 Tb 3.49-3.54

***

Record 4
Density functional theory data (PBE) for a relaxed Tb3Y8 crystal.

Results
Its formation enthalpy at 0 K is 0.40 eV/atom. As for the excess energy over the best structure of this formula in the dataset: 0.000 eV/atom. As for the density of states at the Fermi level: 1.3820 states/eV per atom. The magnetic moment comes out at 0.00 μB/f.u. Its mass density is 5167 kg/m³.

abc: 7.7401 7.7401 7.7401
angles: 107.41 107.41 107.41
With the nearest neighbours (Å) after each atom.
Element x y z (fractional)
Y 0.0297 0.6902 0.1801  3 Y 3.18-3.19, 3 Tb 3.27-3.56
Y 0.2480 0.2480 0.2480  6 Y 3.62-3.94, 3 Tb 3.67
Y 0.7520 0.7520 0.7520  6 Y 3.62-3.94, 3 Tb 3.67
Y 0.8199 0.9703 0.3098  3 Y 3.18-3.19, 3 Tb 3.27-3.56
Y 0.3098 0.8199 0.9703  3 Y 3.18-3.19, 3 Tb 3.27-3.56
Y 0.1801 0.0297 0.6902  3 Y 3.18-3.19, 3 Tb 3.27-3.56
Y 0.9703 0.3098 0.8199  3 Y 3.18-3.19, 3 Tb 3.27-3.56
Y 0.6902 0.1801 0.0297  3 Y 3.18-3.19, 3 Tb 3.27-3.56
Tb 0.5000 0.0000 0.5000  6 Y 3.27-3.56
Tb 0.5000 0.5000 0.0000  6 Y 3.27-3.56
Tb 0.0000 0.5000 0.5000  6 Y 3.27-3.56